Record 1
{
  "formula": "ErPu3H8",
  "functional": "PBE",
  "state": "relaxed",
  "lattice_angstrom": [[5.2436, 0.0000, 0.0000], [0.0000, 5.2436, 0.0000], [0.0000, 0.0000, 5.2436]],
  "species": ["Er", "Pu", "Pu", "Pu", "H", "H", "H", "H", "H", "H", "H", "H"],
  "frac_coords": [[0.0000, 0.0000, 0.0000], [0.0000, 0.5000, 0.5000], [0.5000, 0.0000, 0.5000], [0.5000, 0.5000, 0.0000], [0.2439, 0.2439, 0.2439], [0.2439, 0.2439, 0.7561], [0.2439, 0.7561, 0.2439], [0.2439, 0.7561, 0.7561], [0.7561, 0.2439, 0.2439], [0.7561, 0.2439, 0.7561], [0.7561, 0.7561, 0.2439], [0.7561, 0.7561, 0.7561]],
  "total_energy_ev_per_atom": -6.644
}

---

Record 2
{
  "formula": "ErPuH8Rh2",
  "functional": "PBE",
  "state": "relaxed",
  "lattice_angstrom": [[2.2641, 1.3072, 6.2494], [-2.2641, 1.3072, 6.2494], [0.0000, -2.6143, 6.2494]],
  "species": ["Er", "Pu", "H", "H", "H", "H", "H", "H", "H", "H", "Rh", "Rh"],
  "frac_coords": [[0.0000, 0.0000, 0.0000], [0.5000, 0.5000, 0.5000], [0.0908, 0.5359, 0.5359], [0.1386, 0.1386, 0.1386], [0.4641, 0.4641, 0.9092], [0.4641, 0.9092, 0.4641], [0.5359, 0.0908, 0.5359], [0.5359, 0.5359, 0.0908], [0.8614, 0.8614, 0.8614], [0.9092, 0.4641, 0.4641], [0.2329, 0.2329, 0.2329], [0.7671, 0.7671, 0.7671]],
  "total_energy_ev_per_atom": -5.249
}

---

Record 3
{
  "formula": "ErPuTe2H",
  "functional": "PBE",
  "state": "relaxed",
  "lattice_angstrom": [[4.2259, 0.0000, 0.0000], [0.0000, 4.2259, 0.0000], [0.0000, 0.0000, 13.4990]],
  "species": ["Er", "Er", "Pu", "Pu", "Te", "Te", "Te", "Te", "H", "H"],
  "frac_coords": [[0.2500, 0.2500, 0.0984], [0.7500, 0.7500, 0.9016], [0.2500, 0.2500, 0.5757], [0.7500, 0.7500, 0.4243], [0.2500, 0.2500, 0.3303], [0.2500, 0.2500, 0.8701], [0.7500, 0.7500, 0.1299], [0.7500, 0.7500, 0.6697], [0.2500, 0.7500, 0.5000], [0.7500, 0.2500, 0.5000]],
  "total_energy_ev_per_atom": -6.722
}

---

Record 4
{
  "formula": "RbErH",
  "functional": "PBE",
  "state": "relaxed",
  "lattice_angstrom": [[14.2151, 0.0000, 0.0000], [0.0000, 1.8169, 3.1397], [0.0000, -1.8169, 3.1397]],
  "species": ["Rb", "Rb", "Er", "Er", "H", "H"],
  "frac_coords": [[0.1328, 0.0000, 0.0000], [0.8672, 0.0000, 0.0000], [0.3923, 0.3431, 0.3431], [0.6077, 0.3431, 0.3431], [0.0000, 0.3340, 0.3340], [0.5000, 0.0114, 0.0114]],
  "total_energy_ev_per_atom": -2.761
}

---

Record 5
{
  "formula": "Er12Re3H5",
  "functional": "PBE",
  "state": "relaxed",
  "lattice_angstrom": [[-7.5012, 7.5012, 7.5012], [7.5012, -7.5012, 7.5012], [7.5012, 7.5012, -7.5012]],
  "species": ["Er", "Er", "Er", "Er", "Er", "Er", "Er", "Er", "Er", "Er", "Er", "Er", "Er", "Er", "Er", "Er", "Er", "Er", "Er", "Er", "Er", "Er", "Er", "Er", "Er", "Er", "Er", "Er", "Er", "Er", "Er", "Er", "Er", "Er", "Er", "Er", "Er", "Er", "Er", "Er", "Er", "Er", "Er", "Er", "Er", "Er", "Er", "Er", "Re", "Re", "Re", "Re", "Re", "Re", "Re", "Re", "Re", "Re", "Re", "Re", "H", "H", "H", "H", "H", "H", "H", "H", "H", "H", "H", "H", "H", "H", "H", "H", "H", "H", "H", "H"],
  "frac_coords": [[0.0288, 0.2167, 0.1235], [0.0288, 0.3121, 0.9053], [0.0932, 0.7167, 0.6879], [0.0932, 0.8765, 0.4053], [0.0947, 0.6235, 0.4068], [0.0947, 0.9712, 0.6879], [0.1235, 0.0288, 0.2167], [0.1235, 0.5947, 0.9068], [0.1879, 0.2167, 0.5932], [0.1879, 0.4712, 0.5947], [0.2167, 0.1235, 0.0288], [0.2167, 0.5932, 0.1879], [0.2833, 0.3121, 0.9068], [0.2833, 0.4712, 0.3765], [0.3121, 0.9053, 0.0288], [0.3121, 0.9068, 0.2833], [0.3765, 0.2833, 0.4712], [0.3765, 0.5932, 0.9053], [0.4053, 0.0932, 0.8765], [0.4053, 0.8121, 0.5288], [0.4068, 0.0947, 0.6235], [0.4068, 0.8121, 0.7833], [0.4712, 0.3765, 0.2833], [0.4712, 0.5947, 0.1879], [0.5288, 0.4053, 0.8121], [0.5288, 0.6235, 0.7167], [0.5932, 0.1879, 0.2167], [0.5932, 0.9053, 0.3765], [0.5947, 0.1879, 0.4712], [0.5947, 0.9068, 0.1235], [0.6235, 0.4068, 0.0947], [0.6235, 0.7167, 0.5288], [0.6879, 0.0932, 0.7167], [0.6879, 0.0947, 0.9712], [0.7167, 0.5288, 0.6235], [0.7167, 0.6879, 0.0932], [0.7833, 0.4068, 0.8121], [0.7833, 0.8765, 0.9712], [0.8121, 0.5288, 0.4053], [0.8121, 0.7833, 0.4068], [0.8765, 0.4053, 0.0932], [0.8765, 0.9712, 0.7833], [0.9053, 0.0288, 0.3121], [0.9053, 0.3765, 0.5932], [0.9068, 0.1235, 0.5947], [0.9068, 0.2833, 0.3121], [0.9712, 0.6879, 0.0947], [0.9712, 0.7833, 0.8765], [0.1250, 0.2500, 0.3750], [0.1250, 0.3750, 0.7500], [0.2500, 0.3750, 0.1250], [0.2500, 0.8750, 0.6250], [0.3750, 0.1250, 0.2500], [0.3750, 0.7500, 0.1250], [0.6250, 0.2500, 0.8750], [0.6250, 0.8750, 0.7500], [0.7500, 0.1250, 0.3750], [0.7500, 0.6250, 0.8750], [0.8750, 0.6250, 0.2500], [0.8750, 0.7500, 0.6250], [0.0000, 0.0000, 0.0000], [0.0000, 0.0000, 0.5000], [0.0000, 0.5000, 0.0000], [0.0000, 0.5000, 0.5000], [0.1250, 0.7500, 0.8750], [0.1250, 0.8750, 0.2500], [0.2500, 0.1250, 0.8750], [0.2500, 0.6250, 0.3750], [0.3750, 0.2500, 0.6250], [0.3750, 0.6250, 0.7500], [0.5000, 0.0000, 0.0000], [0.5000, 0.0000, 0.5000], [0.5000, 0.5000, 0.0000], [0.5000, 0.5000, 0.5000], [0.6250, 0.3750, 0.2500], [0.6250, 0.7500, 0.3750], [0.7500, 0.3750, 0.6250], [0.7500, 0.8750, 0.1250], [0.8750, 0.1250, 0.7500], [0.8750, 0.2500, 0.1250]],
  "total_energy_ev_per_atom": -5.599
}

---

Record 6
{
  "formula": "Er2ReH",
  "functional": "PBE",
  "state": "relaxed",
  "lattice_angstrom": [[1.5157, 0.8751, 8.7054], [-1.5157, 0.8751, 8.7054], [0.0000, -1.7502, 8.7054]],
  "species": ["Er", "Er", "Re", "H"],
  "frac_coords": [[0.1056, 0.1056, 0.1056], [0.8944, 0.8944, 0.8944], [0.0000, 0.0000, 0.0000], [0.5000, 0.5000, 0.5000]],
  "total_energy_ev_per_atom": -5.696
}

---

Record 7
{
  "formula": "Er6HRh2",
  "functional": "PBE",
  "state": "relaxed",
  "lattice_angstrom": [[6.2258, 0.0000, 0.0000], [0.0000, 7.0762, 0.0000], [-6.0826, 0.0000, 9.3918]],
  "species": ["Er", "Er", "Er", "Er", "Er", "Er", "Er", "Er", "Er", "Er", "Er", "Er", "H", "H", "Rh", "Rh", "Rh", "Rh"],
  "frac_coords": [[0.1079, 0.1758, 0.4371], [0.1079, 0.3242, 0.9371], [0.2673, 0.6756, 0.4362], [0.2673, 0.8244, 0.9362], [0.3886, 0.0342, 0.2501], [0.3886, 0.4658, 0.7501], [0.6114, 0.5342, 0.2499], [0.6114, 0.9658, 0.7499], [0.7327, 0.1756, 0.0638], [0.7327, 0.3244, 0.5638], [0.8921, 0.6758, 0.0629], [0.8921, 0.8242, 0.5629], [0.0000, 0.0000, 0.0000], [0.0000, 0.5000, 0.5000], [0.1838, 0.1181, 0.7433], [0.1838, 0.3819, 0.2433], [0.8162, 0.6181, 0.7567], [0.8162, 0.8819, 0.2567]],
  "total_energy_ev_per_atom": -5.625
}

---

Record 8
{
  "formula": "Er4HRh2",
  "functional": "PBE",
  "state": "relaxed",
  "lattice_angstrom": [[-2.2653, 2.2653, 7.1217], [2.2653, -2.2653, 7.1217], [2.2653, 2.2653, -7.1217]],
  "species": ["Er", "Er", "Er", "Er", "H", "Rh", "Rh"],
  "frac_coords": [[0.0000, 0.5000, 0.5000], [0.1869, 0.1869, 0.0000], [0.5000, 0.0000, 0.5000], [0.8131, 0.8131, 0.0000], [0.0000, 0.0000, 0.0000], [0.3735, 0.3735, 0.0000], [0.6265, 0.6265, 0.0000]],
  "total_energy_ev_per_atom": -5.782
}

---

Record 9
{
  "formula": "ErH12Rh5",
  "functional": "PBE",
  "state": "relaxed",
  "lattice_angstrom": [[4.6659, 0.0000, 0.0000], [-2.1591, 4.6656, 0.0000], [-0.5558, -1.5419, 6.8596]],
  "species": ["Er", "H", "H", "H", "H", "H", "H", "H", "H", "H", "H", "H", "H", "Rh", "Rh", "Rh", "Rh", "Rh"],
  "frac_coords": [[0.0000, 0.0000, 0.0000], [0.1268, 0.7736, 0.7303], [0.1468, 0.6747, 0.1186], [0.2429, 0.8699, 0.4762], [0.2545, 0.3816, 0.6343], [0.4214, 0.1869, 0.2505], [0.4221, 0.3042, 0.9050], [0.5779, 0.6958, 0.0950], [0.5786, 0.8131, 0.7495], [0.7455, 0.6184, 0.3657], [0.7571, 0.1301, 0.5238], [0.8532, 0.3253, 0.8814], [0.8732, 0.2264, 0.2697], [0.0000, 0.5000, 0.5000], [0.2814, 0.5726, 0.8728], [0.5001, 0.0943, 0.7087], [0.4999, 0.9057, 0.2913], [0.7186, 0.4274, 0.1272]],
  "total_energy_ev_per_atom": -4.669
}

---

Record 10
{
  "formula": "ErH7Rh2",
  "functional": "PBE",
  "state": "relaxed",
  "lattice_angstrom": [[2.7384, -4.1989, 0.0000], [2.7384, 4.1989, 0.0000], [0.0000, 0.0000, 3.5940]],
  "species": ["Er", "H", "H", "H", "H", "H", "H", "H", "Rh", "Rh"],
  "frac_coords": [[0.0000, 0.0000, 0.0000], [0.0631, 0.3234, 0.5000], [0.2980, 0.7020, 0.0000], [0.3234, 0.0631, 0.5000], [0.5000, 0.5000, 0.5000], [0.6766, 0.9369, 0.5000], [0.7020, 0.2980, 0.0000], [0.9369, 0.6766, 0.5000], [0.2981, 0.7019, 0.5000], [0.7019, 0.2981, 0.5000]],
  "total_energy_ev_per_atom": -4.552
}

---

Record 11
{
  "formula": "ErH8Rh4",
  "functional": "PBE",
  "state": "relaxed",
  "lattice_angstrom": [[5.5789, 0.0000, 0.0000], [-2.7792, 4.9253, 0.0000], [-2.7632, -1.6808, 4.8435]],
  "species": ["Er", "H", "H", "H", "H", "H", "H", "H", "H", "Rh", "Rh", "Rh", "Rh"],
  "frac_coords": [[0.0000, 0.0000, 0.0000], [0.0597, 0.3479, 0.7692], [0.0714, 0.2713, 0.3711], [0.4287, 0.7279, 0.6324], [0.4455, 0.6686, 0.2250], [0.5545, 0.3314, 0.7750], [0.5713, 0.2721, 0.3676], [0.9286, 0.7287, 0.6289], [0.9403, 0.6521, 0.2308], [0.0000, 0.5000, 0.0000], [0.0000, 0.5000, 0.5000], [0.5000, 0.5000, 0.0000], [0.5000, 0.5000, 0.5000]],
  "total_energy_ev_per_atom": -4.822
}

---

Record 12
{
  "formula": "ErH3Rh2",
  "functional": "PBE",
  "state": "relaxed",
  "lattice_angstrom": [[6.7005, -2.0259, 0.0000], [6.7005, 2.0259, 0.0000], [-0.1460, 0.0000, 4.4466]],
  "species": ["Er", "Er", "H", "H", "H", "H", "H", "H", "Rh", "Rh", "Rh", "Rh"],
  "frac_coords": [[0.1028, 0.1028, 0.2426], [0.8972, 0.8972, 0.7574], [0.1061, 0.1061, 0.7406], [0.2767, 0.2767, 0.1741], [0.4514, 0.4514, 0.6683], [0.5486, 0.5486, 0.3317], [0.7233, 0.7233, 0.8259], [0.8939, 0.8939, 0.2594], [0.2440, 0.2440, 0.7570], [0.4208, 0.4208, 0.2638], [0.5792, 0.5792, 0.7362], [0.7560, 0.7560, 0.2430]],
  "total_energy_ev_per_atom": -5.328
}

---

Record 13
{
  "formula": "Er2HRh",
  "functional": "PBE",
  "state": "relaxed",
  "lattice_angstrom": [[6.8118, -1.8191, 0.0000], [6.8118, 1.8191, 0.0000], [-2.6882, 0.0000, 6.1247]],
  "species": ["Er", "Er", "Er", "Er", "H", "H", "Rh", "Rh"],
  "frac_coords": [[0.0125, 0.0125, 0.2574], [0.2873, 0.2873, 0.2580], [0.7127, 0.7127, 0.7420], [0.9875, 0.9875, 0.7426], [0.1100, 0.1100, 0.6043], [0.8900, 0.8900, 0.3957], [0.3812, 0.3812, 0.9256], [0.6188, 0.6188, 0.0744]],
  "polymorph_energy_mev_per_atom": 0,
  "total_energy_ev_per_atom": -5.662
}

---

Record 14
{
  "formula": "Er2HRh",
  "functional": "PBE",
  "state": "relaxed",
  "lattice_angstrom": [[3.2131, 0.0000, 0.0000], [0.0000, 3.2131, 0.0000], [0.0000, 0.0000, 7.0013]],
  "species": ["Er", "Er", "H", "Rh"],
  "frac_coords": [[0.0000, 0.0000, 0.2462], [0.0000, 0.0000, 0.7538], [0.5000, 0.5000, 0.0000], [0.5000, 0.5000, 0.5000]],
  "polymorph_energy_mev_per_atom": 358,
  "total_energy_ev_per_atom": -5.304
}

---

Record 15
{
  "formula": "Er2HRh",
  "functional": "PBE",
  "state": "relaxed",
  "lattice_angstrom": [[1.9075, 1.1013, 6.0084], [-1.9075, 1.1013, 6.0084], [0.0000, -2.2025, 6.0084]],
  "species": ["Er", "Er", "H", "Rh"],
  "frac_coords": [[0.2433, 0.2433, 0.2433], [0.7567, 0.7567, 0.7567], [0.5000, 0.5000, 0.5000], [0.0000, 0.0000, 0.0000]],
  "polymorph_energy_mev_per_atom": 153,
  "total_energy_ev_per_atom": -5.509
}

---

Record 16
{
  "formula": "ErHRh2",
  "functional": "PBE",
  "state": "relaxed",
  "lattice_angstrom": [[1.4872, 0.8587, 7.4470], [-1.4872, 0.8587, 7.4470], [0.0000, -1.7173, 7.4470]],
  "species": ["Er", "H", "Rh", "Rh"],
  "frac_coords": [[0.0000, 0.0000, 0.0000], [0.5000, 0.5000, 0.5000], [0.1155, 0.1155, 0.1155], [0.8845, 0.8845, 0.8845]],
  "total_energy_ev_per_atom": -5.414
}